This record from the Alexandria database describes a relaxed Sm2DyYHo6 crystal. The functional is PBE.

Calculated values
Total magnetization   0.00 μB per atom
Mass density   7.96 g/cm3
Energy of formation from the pure elements   1.16 eV/f.u.
Space-group type   C2/c (15)

a = 9.617 Å, b = 8.765 Å, c = 8.765 Å
α = 118.31°, β = 94.36°, γ = 94.36°
Positions (direct):
Ho 0.557 0.747 0.126
Sm 0.457 0.806 0.699
Ho 0.943 0.874 0.253
Ho 0.880 0.290 0.501
Sm 0.043 0.301 0.194
Dy 0.250 0.408 0.592
Ho 0.380 0.501 0.290
Ho 0.120 0.710 0.499
Y 0.750 0.020 0.980
Ho 0.057 0.126 0.747
Y 0.250 0.980 0.020
Sm 0.543 0.194 0.301
Ho 0.314 0.978 0.426
Ho 0.814 0.426 0.978
Dy 0.750 0.592 0.408
Sm 0.957 0.699 0.806
Ho 0.443 0.253 0.874
Ho 0.186 0.574 0.022
Ho 0.620 0.499 0.710
Ho 0.686 0.022 0.574